Sr2NpCrN4: relaxed, PBE-GGA.

abc: 5.6440 6.7371 7.4554
angles: 90.00 90.00 90.00
Closest atoms and distances in Å follow each position.
Fractional coordinates of all 16 atoms:
Sr (0.4718, 0.3221, 0.2462)  4 N 2.46-2.73
Sr (0.4718, 0.3221, 0.7538)  4 N 2.46-2.73
Sr (0.9718, 0.6779, 0.7462)  4 N 2.46-2.73
Sr (0.9718, 0.6779, 0.2538)  4 N 2.46-2.73
Np (0.9813, 0.1652, 0.5000)  4 N 2.11-2.27
Np (0.4813, 0.8348, 0.0000)  4 N 2.11-2.27
Cr (0.5013, 0.8414, 0.5000)  4 N 1.81-1.85
Cr (0.0013, 0.1586, 0.0000)  4 N 1.81-1.85
N (0.3182, 0.1164, 0.0000)  1 Cr 1.81
N (0.8182, 0.8836, 0.5000)  1 Cr 1.81
N (0.3523, 0.0824, 0.5000)  1 Cr 1.83
N (0.8523, 0.9176, 0.0000)  1 Cr 1.83
N (0.4516, 0.7144, 0.7163)  1 Cr 1.85
N (0.9516, 0.2856, 0.2163)  1 Cr 1.85
N (0.9516, 0.2856, 0.7837)  1 Cr 1.85
N (0.4516, 0.7144, 0.2837)  1 Cr 1.85

Properties
- Formation energy without anion corrections: -577.4 kJ/mol of formula units
- Calculated density: 6.09 g cm⁻³
- Total DFT energy (no corrections): -8.15 eV per atom
- Volume: 17.72 Å³/atom